Entry 1:
VASP calculation (GGA-PBE) on crystalline DyCd6Ag12 at its relaxed geometry.

Lattice parameters (Å, degrees): 7.734 7.734 7.734 104.58 104.58 104.58
Fractional coordinates of all 19 atoms:
Dy1 0.000 0.000 0.000
Cd1 0.298 0.298 0.696
Cd2 0.298 0.696 0.298
Cd3 0.304 0.702 0.702
Cd4 0.696 0.298 0.298
Cd5 0.702 0.304 0.702
Cd6 0.702 0.702 0.304
Ag1 0.106 0.347 0.347
Ag2 0.111 0.500 0.889
Ag3 0.111 0.889 0.500
Ag4 0.347 0.106 0.347
Ag5 0.347 0.347 0.106
Ag6 0.500 0.111 0.889
Ag7 0.500 0.889 0.111
Ag8 0.653 0.653 0.894
Ag9 0.653 0.894 0.653
Ag10 0.889 0.111 0.500
Ag11 0.889 0.500 0.111
Ag12 0.894 0.653 0.653

Summary:
Space group: R-3m

=====

Entry 2:
VASP calculation (GGA-PBE) on crystalline Tb2TmHfSb4 at its relaxed geometry.

Lattice parameters (Å, degrees): 7.449 4.299 7.451 90.00 109.31 90.00
Fractional coordinates of all 8 atoms:
Tb1 0.000 0.000 0.000
Tb2 0.500 0.500 0.000
Tm1 0.000 0.500 0.500
Hf1 0.500 0.000 0.500
Sb1 0.254 0.000 0.740
Sb2 0.261 0.500 0.265
Sb3 0.739 0.500 0.735
Sb4 0.746 0.000 0.260

Summary:
Space group: P2/m
Formation energy (no corrections): -7.51 eV per formula unit

=====

Number 1: E -2.263 eV per atom. Number 2: E -5.960 eV per atom.